1.
# La3Tl

A relaxed La3Tl crystal (PBE, Alexandria).

Calculated values
ΔE_f	-0.241	eV/atom
ΔE to the lowest computed polymorph	0.06	kcal/mol of atoms
magnetization	0.000	μB per atom
total energy	-0.3328	Ry per atom

```
8
Lattice="-2.501 2.501 10.371 2.501 -2.501 10.371 2.501 2.501 -10.371" Properties=species:S:1:pos:R:3 pbc="T T T"
La 2.501 0.000 0.000
La 0.000 0.000 2.594
La 2.501 0.000 5.185
La 0.000 2.501 0.000
La 0.000 2.501 5.185
La 0.000 0.000 18.148
Tl 0.000 0.000 7.790
Tl 0.000 0.000 12.951
```

2.
# CeNd3Y6

A relaxed CeNd3Y6 crystal (PBE, Alexandria).

Calculated values
ΔE_f	0.153	eV/atom
ΔE to the lowest computed polymorph	0.00	kcal/mol of atoms
magnetization	0.026	μB per atom
total energy	-0.4225	Ry per atom

```
20
Lattice="5.373 -9.665 0.000 5.373 9.665 0.000 0.000 0.000 6.390" Properties=species:S:1:pos:R:3 pbc="T T T"
Ce 5.373 5.558 3.195
Ce 5.373 -5.558 0.000
Nd 1.922 2.305 5.007
Nd 1.922 -2.305 1.812
Nd 5.373 2.175 3.865
Nd 5.373 -2.175 0.670
Nd 8.825 2.305 5.007
Nd 8.825 -2.305 1.812
Y 2.468 3.917 2.122
Y 5.373 8.658 5.254
Y 3.540 0.764 1.037
Y 5.373 3.867 0.342
Y 3.540 -0.764 4.232
Y 2.468 -3.917 5.316
Y 8.279 3.917 2.122
Y 7.207 0.764 1.037
Y 5.373 -3.867 3.536
Y 7.207 -0.764 4.232
Y 5.373 -8.658 2.059
Y 8.279 -3.917 5.316
```

3.
# TlCr2IrRu

A relaxed TlCr2IrRu crystal (PBE, Alexandria).

Calculated values
ΔE_f	1.169	eV/atom
magnetization	1.217	μB per atom
total energy	-0.4984	Ry per atom

```
5
Lattice="4.703 0.000 0.000 0.000 4.703 0.000 0.000 0.000 4.782" Properties=species:S:1:pos:R:3 pbc="T T T"
Tl 0.000 0.000 0.000
Cr 0.000 2.352 2.391
Cr 2.352 0.000 2.391
Ir 2.352 2.352 0.000
Ru 2.352 2.352 2.391
```

4.
# Sr2CeNpAs4

A relaxed Sr2CeNpAs4 crystal (PBE, Alexandria).

Calculated values
ΔE_f	-1.089	eV/atom
magnetization	0.388	μB per atom
total energy	-0.4552	Ry per atom

```
8
Lattice="7.449 0.000 0.000 0.000 4.300 0.000 -2.483 0.000 7.108" Properties=species:S:1:pos:R:3 pbc="T T T"
Sr 0.000 0.000 0.000
Sr 3.725 2.150 0.000
Ce -1.242 2.150 3.554
Np 2.483 0.000 3.554
As 0.034 0.000 5.106
As 1.279 2.150 2.021
As 3.688 2.150 5.087
As 4.933 0.000 2.003
```